[1]
VPN2F | GGA+U | relaxed

Output
- Total magnetization: 0.01 Bohr magnetons per cell
- ρ: 3.8 Mg/m³
- E: -0.213 Ha/atom
- Volume: 57 Å³ per cell

a = 3.9001 Å, b = 3.9001 Å, c = 3.7476 Å
α = 90.00°, β = 90.00°, γ = 90.00°
Sites, in units of the cell vectors:
1 V 0.0000 0.0000 0.0000
2 P 0.5000 0.5000 0.5000
3 N 0.0000 0.5000 0.0000
4 N 0.5000 0.0000 0.0000
5 F 0.0000 0.0000 0.5000


[2]
VPN2F | GGA+U | relaxed

Output
- Total magnetization: 2.88 Bohr magnetons per cell
- ρ: 4.4 Mg/m³
- E: -0.225 Ha/atom
- Volume: 49 Å³ per cell

a = 3.5798 Å, b = 3.5798 Å, c = 3.7939 Å
α = 90.00°, β = 90.00°, γ = 90.00°
Sites, in units of the cell vectors:
1 V 0.0000 0.0000 0.0000
2 P 0.5000 0.5000 0.5000
3 N 0.0000 0.5000 0.5000
4 N 0.5000 0.0000 0.5000
5 F 0.5000 0.5000 0.0000


[3]
PWNF2 | GGA+U | relaxed

Output
- Total magnetization: 4.00 Bohr magnetons per cell
- ρ: 6.0 Mg/m³
- E: -0.195 Ha/atom
- Volume: 74 Å³ per cell

a = 4.2471 Å, b = 4.2471 Å, c = 4.0997 Å
α = 90.00°, β = 90.00°, γ = 90.00°
Sites, in units of the cell vectors:
1 P 0.0000 0.0000 0.0000
2 W 0.5000 0.5000 0.5000
3 N 0.5000 0.5000 0.0000
4 F 0.0000 0.5000 0.5000
5 F 0.5000 0.0000 0.5000


[4]
PWNF2 | GGA+U | relaxed

Output
- Total magnetization: 4.29 Bohr magnetons per cell
- ρ: 6.1 Mg/m³
- E: -0.178 Ha/atom
- Volume: 73 Å³ per cell

a = 4.6982 Å, b = 4.6982 Å, c = 3.2948 Å
α = 90.00°, β = 90.00°, γ = 90.00°
Sites, in units of the cell vectors:
1 P 0.0000 0.0000 0.0000
2 W 0.5000 0.5000 0.5000
3 N 0.0000 0.0000 0.5000
4 F 0.0000 0.5000 0.0000
5 F 0.5000 0.0000 0.0000


Which of these has the highest volume? number 3